Entry 1:
Here is a geometry-optimized TmTiZnIn structure from Alexandria via LeMat-Bulk. Energies are from PBE.

## Properties
ρ: 8.05 Mg/m³
Formation energy: -169 meV/atom

Unit cell a=4.875 b=4.875 c=4.875 alpha=60.00 beta=60.00 gamma=60.00
Element x y z (fractional)
Tm 0.750 0.750 0.750
Zn 0.500 0.500 0.500
Ti 0.250 0.250 0.250
In 0.000 0.000 0.000

Entry 2:
Here is a geometry-optimized PuPaVRh structure from Alexandria via LeMat-Bulk. Energies are from PBE.

## Properties
ρ: 14.24 Mg/m³
Formation energy: -155 meV/atom

Unit cell a=4.698 b=4.698 c=4.698 alpha=60.00 beta=60.00 gamma=60.00
Each line ends with the local moment (μB).
Element x y z (fractional)
V 0.500 0.500 0.500  -1.70
Rh 0.750 0.750 0.750  -0.16
Pa 0.250 0.250 0.250  0.06
Pu 0.000 0.000 0.000  4.51

Entry 3:
Here is a geometry-optimized K3Ag8Pd structure from Alexandria via LeMat-Bulk. Energies are from PBE.

## Properties
ρ: 6.61 Mg/m³
Formation energy: 58 meV/atom

Unit cell a=5.788 b=5.788 c=9.979 alpha=73.14 beta=73.14 gamma=60.00
Element x y z (fractional)
Ag 0.940 0.940 0.672
Ag 0.436 0.436 0.196
K 0.504 0.504 0.489
K 0.376 0.376 0.872
Ag 0.189 0.189 0.433
K 0.994 0.994 0.018
Pd 0.866 0.866 0.401
Ag 0.932 0.436 0.196
Ag 0.688 0.688 0.935
Ag 0.940 0.448 0.672
Ag 0.436 0.932 0.196
Ag 0.448 0.940 0.672

Entry 4:
Here is a geometry-optimized AlRe2Te structure from Alexandria via LeMat-Bulk. Energies are from PBE.

## Properties
ρ: 13.69 Mg/m³
ΔE_f (raw): 0.433 eV/atom
Energy above the most stable polymorph in this dataset: 0.196 eV per atom

Unit cell a=3.208 b=4.464 c=4.464 alpha=90.00 beta=90.00 gamma=90.00
Element x y z (fractional)
Re 0.000 0.500 0.500
Al 0.500 0.000 0.500
Re 0.000 0.000 0.000
Te 0.500 0.500 0.000

Entry 5:
Here is a geometry-optimized Pr5Er4Sc2 structure from Alexandria via LeMat-Bulk. Energies are from PBE.

## Properties
ρ: 6.82 Mg/m³
Formation energy: 78 meV/atom
Energy above the most stable polymorph in this dataset: 0.000 eV per atom

Unit cell a=3.557 b=8.947 c=11.220 alpha=86.20 beta=90.00 gamma=90.00
Element x y z (fractional)
Er 0.500 0.752 0.435
Pr 0.000 0.500 0.000
Er 0.500 0.819 0.868
Pr 0.000 0.167 0.850
Pr 0.000 0.833 0.150
Er 0.500 0.181 0.132
Pr 0.000 0.561 0.681
Er 0.500 0.248 0.565
Sc 0.000 0.934 0.630
Pr 0.000 0.439 0.319
Sc 0.000 0.066 0.370

Entry 6:
Here is a geometry-optimized Al2TcW structure from Alexandria via LeMat-Bulk. Energies are from PBE.

## Properties
ρ: 9.21 Mg/m³
Formation energy: -155 meV/atom
Energy above the most stable polymorph in this dataset: 0.156 eV per atom

Unit cell a=4.874 b=7.491 c=6.633 alpha=90.00 beta=90.00 gamma=90.00
Element x y z (fractional)
W 0.250 0.608 0.181
W 0.750 0.392 0.181
Al 0.750 0.252 0.570
W 0.250 0.108 0.681
Al 0.500 0.000 0.319
Al 0.250 0.248 0.070
W 0.750 0.892 0.681
Al 0.500 0.500 0.819
Tc 0.250 0.378 0.469
Tc 0.750 0.622 0.469
Tc 0.250 0.878 0.969
Al 0.000 0.000 0.319
Al 0.750 0.752 0.070
Tc 0.750 0.122 0.969
Al 0.000 0.500 0.819
Al 0.250 0.748 0.570

Entry 7:
Here is a geometry-optimized Cs2CdBr structure from Alexandria via LeMat-Bulk. Energies are from PBE.

## Properties
ρ: 3.97 Mg/m³
ΔE_f (raw): -0.817 eV/atom
Energy above the most stable polymorph in this dataset: 0.079 eV per atom

Unit cell a=4.502 b=4.502 c=9.455 alpha=90.00 beta=90.00 gamma=90.00
Element x y z (fractional)
Cd 0.500 0.500 0.500
Br 0.500 0.500 0.000
Cs 0.000 0.000 0.776
Cs 0.000 0.000 0.224

Entry 8:
Here is a geometry-optimized PrDyP structure from Alexandria via LeMat-Bulk. Energies are from PBE.

## Properties
ρ: 6.13 Mg/m³
Formation energy: -925 meV/atom

Unit cell a=3.972 b=3.972 c=6.630 alpha=90.00 beta=90.00 gamma=120.00
Each line ends with the local moment (μB).
Element x y z (fractional)
P 0.667 0.333 0.344  -0.01
Pr 0.000 0.000 0.083  0.14
Dy 0.333 0.667 0.573  0.19

Number 1: electronic total energy -4.264 eV per atom. Number 2: electronic total energy -10.229 eV per atom. Number 3: electronic total energy -2.550 eV per atom. Number 4: electronic total energy -7.512 eV per atom. Number 5: electronic total energy -4.905 eV per atom. Number 6: electronic total energy -7.856 eV per atom. Number 7: electronic total energy -1.891 eV per atom. Number 8: electronic total energy -5.856 eV per atom.